Crystalline Cr2GeO at its relaxed geometry. Source: Alexandria, functional PBE with a Hubbard U.

Structure (extended XYZ):
```
4
Lattice="0.0000 3.0676 3.0676 3.0676 0.0000 3.0676 3.0676 3.0676 0.0000" Properties=species:S:1:pos:R:3 pbc="T T T"
Cr 1.5338 1.5338 1.5338
Cr 4.6014 4.6014 4.6014
Ge 0.0000 0.0000 0.0000
O 3.0676 3.0676 3.0676
```

Output
Electronic total energy (eV/atom): -5.931
Total magnetic moment (μB per cell): 8.0